{"formula": "OsCl2", "functional": "PBE-GGA", "state": "optimized geometry", "mass_density_g_cm3": 6.48, "total_magnetization_mub_per_cell": 0.000, "e_form_raw_ev_per_atom": 0.149, "e_above_lowest_polymorph_mev_per_atom": 99, "energy_ev_per_atom": -4.825, "lattice_angstrom": [[-5.293, 3.273, 2.990], [-4.026, -0.309, 5.562], [6.217, -0.539, -2.880]], "species": ["Os", "Cl", "Cl"], "frac_coords": [[0.000, 0.000, 0.000], [0.110, 0.617, 0.494], [0.890, 0.383, 0.506]]}